(1)
A plane-wave DFT calculation with PBE was carried out for crystalline Tl3Tc2 at its relaxed geometry.

Offset from the most stable computed form in kcal/mol of atoms: 0.00
Energy of formation in eV per formula unit: 3.35
SG: P-3m1

Cell: 4.8085 4.8085 5.6784 Å, 90.00 90.00 120.00°
Each line ends with the local moment (μB).
Sites, in units of the cell vectors:
Tl: 0.6667 0.3333 0.5945  -0.01
Tl: 0.0000 0.0000 0.0000  -0.03
Tc: 0.6667 0.3333 0.0761  0.81
Tc: 0.3333 0.6667 0.9239  0.81
Tl: 0.3333 0.6667 0.4055  -0.01



(2)
A plane-wave DFT calculation with PBE was carried out for crystalline SiTcN2O at its relaxed geometry.

Formation energy without anion corrections in meV per atom: 59
SG: P4/mmm

Cell: 3.6912 3.6912 3.3972 Å, 90.00 90.00 90.00°
Each line ends with the local moment (μB).
Sites, in units of the cell vectors:
O: 0.0000 0.0000 0.5000  0.07
N: 0.0000 0.5000 0.0000  -0.11
N: 0.5000 0.0000 0.0000  -0.11
Tc: 0.5000 0.5000 0.5000  2.59
Si: 0.0000 0.0000 0.0000  0.01



(3)
A plane-wave DFT calculation with PBE was carried out for crystalline HfV2Cr at its relaxed geometry.

Offset from the most stable computed form in kcal/mol of atoms: 5.32
Energy of formation in eV per formula unit: 1.26
SG: R-3m

Cell: 2.9316 2.9316 8.4801 Å, 80.05 80.05 60.00°
Sites, in units of the cell vectors:
Cr: 0.0000 0.0000 0.0000
Hf: 0.5000 0.5000 0.5000
V: 0.2627 0.2627 0.2118
V: 0.7373 0.7373 0.7882



(4)
A plane-wave DFT calculation with PBE was carried out for crystalline AgTe2PbN at its relaxed geometry.

Formation energy without anion corrections in meV per atom: 1139
Offset from the most stable computed form in kcal/mol of atoms: 8.22
SG: P4/mmm

Cell: 5.9927 5.9927 4.2981 Å, 90.00 90.00 90.00°
Each line ends with the local moment (μB).
Sites, in units of the cell vectors:
Pb: 0.0000 0.0000 0.0000  -0.03
Ag: 0.5000 0.5000 0.5000  0.01
N: 0.0000 0.0000 0.5000  0.82
Te: 0.0000 0.5000 0.0000  0.18
Te: 0.5000 0.0000 0.0000  0.18



(5)
A plane-wave DFT calculation with PBE was carried out for crystalline InSnBr5 at its relaxed geometry.

Formation energy without anion corrections in meV per atom: -746
SG: C2/c

Cell: 7.8478 7.8495 10.9546 Å, 110.18 110.19 87.57°
Sites, in units of the cell vectors:
Br: 0.2026 0.2574 0.5406
Sn: 0.5000 0.0000 0.0000
Br: 0.1498 0.7467 0.8387
Br: 0.2423 0.2974 0.9595
Br: 0.2469 0.6497 0.3390
Br: 0.5850 0.9154 0.7501
Sn: 0.5000 0.0000 0.5000
Br: 0.7577 0.7026 0.0405
In: 0.1022 0.3978 0.7500
In: 0.8978 0.6022 0.2500
Br: 0.8502 0.2533 0.1613
Br: 0.7531 0.3503 0.6610
Br: 0.7974 0.7426 0.4594
Br: 0.4150 0.0846 0.2499



(6)
A plane-wave DFT calculation with PBE was carried out for crystalline KCdInBr6 at its relaxed geometry.

Formation energy without anion corrections in meV per atom: -1044
SG: P-31c

Cell: 7.1628 7.1628 14.6177 Å, 90.00 90.00 120.00°
Sites, in units of the cell vectors:
Br: 0.9907 0.6250 0.3589
Cd: 0.3333 0.6667 0.2500
Br: 0.6250 0.9907 0.8589
Br: 0.6344 0.0093 0.3589
K: 0.0000 0.0000 0.0000
Br: 0.9907 0.3656 0.1411
Br: 0.6250 0.6344 0.6411
In: 0.6667 0.3333 0.2500
Br: 0.6344 0.6250 0.1411
K: 0.0000 0.0000 0.5000
Br: 0.3750 0.0093 0.1411
Br: 0.3656 0.9907 0.6411
Cd: 0.6667 0.3333 0.7500
Br: 0.3656 0.3750 0.8589
Br: 0.0093 0.6344 0.8589
In: 0.3333 0.6667 0.7500
Br: 0.3750 0.3656 0.3589
Br: 0.0093 0.3750 0.6411



| no. | total moment (μB per formula unit) |
| --- | --- |
| 1 | 1.677 |
| 2 | 2.614 |
| 3 | 0.000 |
| 4 | 1.767 |
| 5 | 0.000 |
| 6 | 0.000 |